An optimized crystal structure of BaSrAl4Pd2. Source: OQMD, functional PBE.

The calculated volume comes out at 373.2 Å³/cell. The electronic total energy comes out at -4.213 eV/atom.

It has space group Amm2 (No. 38), with a = 7.5037 Å, b = 4.2905 Å, c = 11.5934 Å, α = 90.00°, β = 90.00° and γ = 90.00°. The distinct sites, in fractional coordinates, are Ba at (0.0000, 0.0000, 0.0000), Sr at (0.5000, 0.0000, 0.0891), Al at (0.1921, 0.0000, 0.7257), Al at (0.3149, 0.0000, 0.3613), Pd at (0.0000, 0.0000, 0.2684) and Pd at (0.5000, 0.0000, 0.8209).